# 1
Computed, not measured: a geometry-optimized KBaCuSe2 structure at the GGA-PBE level of DFT.

Calculated values
Crystal system: orthorhombic
Energy relative to the elements, uncorrected, eV/atom: -1.049

Unit cell a=9.1454 b=9.1454 c=5.0500 alpha=90.00 beta=90.00 gamma=120.48
Fractional coordinates of all 10 atoms:
K (0.2500, 0.2500, 0.0000)
K (0.7500, 0.7500, 0.0000)
Ba (0.2500, 0.7500, 0.7703)
Ba (0.7500, 0.2500, 0.2297)
Cu (0.0000, 0.0000, 0.5000)
Cu (0.5000, 0.5000, 0.5000)
Se (0.1243, 0.8757, 0.2774)
Se (0.3757, 0.6243, 0.2774)
Se (0.6243, 0.3757, 0.7226)
Se (0.8757, 0.1243, 0.7226)


# 2
Computed, not measured: a geometry-optimized GdCdGe structure at the GGA-PBE level of DFT.

Calculated values
Formation energy, meV/atom: -280
Crystal system: tetragonal

Unit cell a=6.4496 b=6.4496 c=6.4496 alpha=149.07 beta=149.07 gamma=44.31
Fractional coordinates of all 3 atoms:
Gd (0.0000, 0.0000, 0.0000)
Cd (0.3102, 0.3102, 0.0000)
Ge (0.6648, 0.6648, 0.0000)


# 3
Computed, not measured: a geometry-optimized La4Ce3PrAs8 structure at the GGA-PBE level of DFT.

Calculated values
Formation energy, meV/atom: -1510
Crystal system: trigonal

Unit cell a=8.6230 b=8.6230 c=8.6230 alpha=59.93 beta=59.93 gamma=59.93
Fractional coordinates of all 16 atoms:
La (0.0000, 0.0000, 0.0000)
La (0.0000, 0.5000, 0.5000)
La (0.5000, 0.0000, 0.5000)
La (0.5000, 0.5000, 0.0000)
Ce (0.0000, 0.0000, 0.5000)
Ce (0.0000, 0.5000, 0.0000)
Ce (0.5000, 0.0000, 0.0000)
Pr (0.5000, 0.5000, 0.5000)
As (0.2434, 0.7493, 0.7493)
As (0.2466, 0.2466, 0.2466)
As (0.2507, 0.2507, 0.7566)
As (0.2507, 0.7566, 0.2507)
As (0.7493, 0.2434, 0.7493)
As (0.7493, 0.7493, 0.2434)
As (0.7534, 0.7534, 0.7534)
As (0.7566, 0.2507, 0.2507)


# 4
Computed, not measured: a geometry-optimized Bi3SbPb3 structure at the GGA-PBE level of DFT.

Calculated values
Crystal system: hexagonal
Energy relative to the elements, uncorrected, eV/atom: 0.069

Unit cell a=9.3646 b=9.3646 c=5.7400 alpha=90.00 beta=90.00 gamma=120.00
Fractional coordinates of all 14 atoms:
Bi (0.0436, 0.2398, 0.2500)
Bi (0.1962, 0.9564, 0.2500)
Bi (0.2398, 0.1962, 0.7500)
Bi (0.7602, 0.8038, 0.2500)
Bi (0.8038, 0.0436, 0.7500)
Bi (0.9564, 0.7602, 0.7500)
Sb (0.3333, 0.6667, 0.2500)
Sb (0.6667, 0.3333, 0.7500)
Pb (0.0911, 0.4769, 0.7500)
Pb (0.3857, 0.9089, 0.7500)
Pb (0.4769, 0.3857, 0.2500)
Pb (0.5231, 0.6143, 0.7500)
Pb (0.6143, 0.0911, 0.2500)
Pb (0.9089, 0.5231, 0.2500)


# 5
Computed, not measured: a geometry-optimized K5NaAs2 structure at the GGA-PBE level of DFT.

Calculated values
Formation energy, meV/atom: -316
Crystal system: hexagonal

Unit cell a=5.8935 b=5.8935 c=20.4812 alpha=90.00 beta=90.00 gamma=120.00
Fractional coordinates of all 16 atoms:
K (0.0000, 0.0000, 0.1253)
K (0.0000, 0.0000, 0.3747)
K (0.0000, 0.0000, 0.6253)
K (0.0000, 0.0000, 0.8747)
K (0.3333, 0.6667, 0.0503)
K (0.3333, 0.6667, 0.2500)
K (0.3333, 0.6667, 0.4497)
K (0.6667, 0.3333, 0.5503)
K (0.6667, 0.3333, 0.7500)
K (0.6667, 0.3333, 0.9497)
Na (0.3333, 0.6667, 0.7500)
Na (0.6667, 0.3333, 0.2500)
As (0.3333, 0.6667, 0.6153)
As (0.3333, 0.6667, 0.8847)
As (0.6667, 0.3333, 0.1153)
As (0.6667, 0.3333, 0.3847)


# 6
Computed, not measured: a geometry-optimized ReAgOs4 structure at the GGA-PBE level of DFT.

Calculated values
Formation energy, meV/atom: 842
Crystal system: cubic

Unit cell a=5.1272 b=5.1272 c=5.1272 alpha=60.00 beta=60.00 gamma=60.00
Fractional coordinates of all 6 atoms:
Re (0.0000, 0.0000, 0.0000)
Ag (0.7500, 0.7500, 0.7500)
Os (0.3750, 0.3750, 0.3750)
Os (0.3750, 0.3750, 0.8749)
Os (0.3750, 0.8749, 0.3750)
Os (0.8749, 0.3750, 0.3750)


# 7
Computed, not measured: a geometry-optimized Hf3AsN structure at the GGA-PBE level of DFT.

Calculated values
ΔE to the lowest computed polymorph, eV per formula unit: 1.23
Crystal system: orthorhombic
Energy relative to the elements, uncorrected, eV/atom: -0.982

Unit cell a=9.5448 b=9.5448 c=5.5456 alpha=90.00 beta=90.00 gamma=159.73
Fractional coordinates of all 10 atoms:
Hf (0.0583, 0.9417, 0.5000)
Hf (0.2058, 0.7942, 0.6844)
Hf (0.4160, 0.5840, 0.4821)
Hf (0.5840, 0.4160, 0.9821)
Hf (0.7942, 0.2058, 0.1844)
Hf (0.9417, 0.0583, 0.0000)
As (0.1796, 0.8204, 0.1840)
As (0.8204, 0.1796, 0.6841)
N (0.3729, 0.6271, 0.1328)
N (0.6271, 0.3729, 0.6328)


# 8
Computed, not measured: a geometry-optimized NaTiIn structure at the GGA-PBE level of DFT.

Calculated values
ΔE to the lowest computed polymorph, eV per formula unit: 1.86
Formation energy, meV/atom: 577
Crystal system: tetragonal

Unit cell a=4.5203 b=4.5203 c=7.5062 alpha=90.00 beta=90.00 gamma=90.00
Fractional coordinates of all 6 atoms:
Na (0.2500, 0.2500, 0.1775)
Na (0.7500, 0.7500, 0.8225)
Ti (0.2500, 0.2500, 0.7531)
Ti (0.7500, 0.7500, 0.2469)
In (0.2500, 0.7500, 0.5000)
In (0.7500, 0.2500, 0.5000)


# 9
Computed, not measured: a geometry-optimized Sr5Sb22O38 structure at the GGA-PBE level of DFT.

Calculated values
Crystal system: monoclinic
Energy relative to the elements, uncorrected, eV/atom: -1.638

Unit cell a=11.9741 b=12.2460 c=20.4728 alpha=90.00 beta=124.91 gamma=90.00
Fractional coordinates of all 130 atoms:
Sr (0.0000, 0.0000, 0.0000)
Sr (0.0000, 0.5000, 0.5000)
Sr (0.3297, 0.1792, 0.1664)
Sr (0.3297, 0.3208, 0.6664)
Sr (0.3513, 0.6530, 0.6707)
Sr (0.3513, 0.8470, 0.1707)
Sr (0.6487, 0.1530, 0.8293)
Sr (0.6487, 0.3470, 0.3293)
Sr (0.6703, 0.6792, 0.3336)
Sr (0.6703, 0.8208, 0.8336)
Sb (0.0067, 0.1623, 0.1608)
Sb (0.0067, 0.3377, 0.6608)
Sb (0.0070, 0.6976, 0.0052)
Sb (0.0070, 0.8024, 0.5052)
Sb (0.0088, 0.5338, 0.8434)
Sb (0.0088, 0.9662, 0.3434)
Sb (0.0321, 0.6386, 0.6757)
Sb (0.0321, 0.8614, 0.1757)
Sb (0.3029, 0.1318, 0.8050)
Sb (0.3029, 0.3682, 0.3050)
Sb (0.3099, 0.0092, 0.3145)
Sb (0.3099, 0.4908, 0.8145)
Sb (0.3222, 0.1700, 0.5060)
Sb (0.3222, 0.3300, 0.0060)
Sb (0.3368, 0.0067, 0.0155)
Sb (0.3368, 0.4933, 0.5155)
Sb (0.3491, 0.6807, 0.0036)
Sb (0.3491, 0.8193, 0.5036)
Sb (0.3554, 0.6470, 0.3281)
Sb (0.3554, 0.8530, 0.8281)
Sb (0.3590, 0.5328, 0.1563)
Sb (0.3590, 0.9672, 0.6563)
Sb (0.6410, 0.0328, 0.3437)
Sb (0.6410, 0.4672, 0.8437)
Sb (0.6446, 0.1470, 0.1719)
Sb (0.6446, 0.3530, 0.6719)
Sb (0.6509, 0.1807, 0.4964)
Sb (0.6509, 0.3193, 0.9964)
Sb (0.6632, 0.5067, 0.4845)
Sb (0.6632, 0.9933, 0.9845)
Sb (0.6778, 0.6700, 0.9940)
Sb (0.6778, 0.8300, 0.4940)
Sb (0.6901, 0.5092, 0.1855)
Sb (0.6901, 0.9908, 0.6855)
Sb (0.6971, 0.6318, 0.6950)
Sb (0.6971, 0.8682, 0.1950)
Sb (0.9679, 0.1386, 0.8243)
Sb (0.9679, 0.3614, 0.3243)
Sb (0.9912, 0.0338, 0.6566)
Sb (0.9912, 0.4662, 0.1566)
Sb (0.9930, 0.1976, 0.4948)
Sb (0.9930, 0.3024, 0.9948)
Sb (0.9933, 0.6623, 0.3392)
Sb (0.9933, 0.8377, 0.8392)
O (0.0303, 0.0027, 0.8869)
O (0.0303, 0.4973, 0.3869)
O (0.0402, 0.1836, 0.0746)
O (0.0402, 0.3164, 0.5746)
O (0.0782, 0.5308, 0.7758)
O (0.0782, 0.9692, 0.2758)
O (0.0788, 0.6910, 0.5898)
O (0.0788, 0.8090, 0.0898)
O (0.1039, 0.1699, 0.7003)
O (0.1039, 0.3301, 0.2003)
O (0.1537, 0.6533, 0.9242)
O (0.1537, 0.8467, 0.4242)
O (0.1880, 0.2044, 0.5325)
O (0.1880, 0.2956, 0.0325)
O (0.2089, 0.5151, 0.2609)
O (0.2089, 0.9849, 0.7609)
O (0.2097, 0.1293, 0.2358)
O (0.2097, 0.3707, 0.7358)
O (0.2357, 0.6186, 0.7397)
O (0.2357, 0.8814, 0.2397)
O (0.2610, 0.0106, 0.0780)
O (0.2610, 0.4894, 0.5780)
O (0.3283, 0.6562, 0.5066)
O (0.3283, 0.8438, 0.0066)
O (0.3478, 0.6757, 0.1006)
O (0.3478, 0.8243, 0.6006)
O (0.3805, 0.0289, 0.5609)
O (0.3805, 0.4711, 0.0609)
O (0.3943, 0.1513, 0.7521)
O (0.3943, 0.3487, 0.2521)
O (0.4016, 0.6551, 0.2490)
O (0.4016, 0.8449, 0.7490)
O (0.4367, 0.0197, 0.2755)
O (0.4367, 0.4803, 0.7755)
O (0.4447, 0.2268, 0.0920)
O (0.4447, 0.2732, 0.5920)
O (0.4628, 0.5072, 0.3854)
O (0.4628, 0.9928, 0.8854)
O (0.5372, 0.0072, 0.1146)
O (0.5372, 0.4928, 0.6146)
O (0.5553, 0.7268, 0.4080)
O (0.5553, 0.7732, 0.9080)
O (0.5633, 0.5197, 0.2245)
O (0.5633, 0.9803, 0.7245)
O (0.5984, 0.1551, 0.2510)
O (0.5984, 0.3449, 0.7510)
O (0.6057, 0.6513, 0.7479)
O (0.6057, 0.8487, 0.2479)
O (0.6195, 0.5289, 0.9391)
O (0.6195, 0.9711, 0.4391)
O (0.6522, 0.1757, 0.3994)
O (0.6522, 0.3243, 0.8994)
O (0.6717, 0.1562, 0.9934)
O (0.6717, 0.3438, 0.4934)
O (0.7390, 0.5106, 0.4220)
O (0.7390, 0.9894, 0.9220)
O (0.7643, 0.1186, 0.7603)
O (0.7643, 0.3814, 0.2603)
O (0.7903, 0.6293, 0.2642)
O (0.7903, 0.8707, 0.7642)
O (0.7911, 0.0151, 0.2391)
O (0.7911, 0.4849, 0.7391)
O (0.8120, 0.7044, 0.9675)
O (0.8120, 0.7956, 0.4675)
O (0.8463, 0.1533, 0.5758)
O (0.8463, 0.3467, 0.0758)
O (0.8961, 0.6699, 0.7997)
O (0.8961, 0.8301, 0.2997)
O (0.9212, 0.1910, 0.9102)
O (0.9212, 0.3090, 0.4102)
O (0.9218, 0.0308, 0.7242)
O (0.9218, 0.4692, 0.2242)
O (0.9598, 0.6836, 0.4254)
O (0.9598, 0.8164, 0.9254)
O (0.9697, 0.5027, 0.6131)
O (0.9697, 0.9973, 0.1131)


# 10
Computed, not measured: a geometry-optimized Mn2IrAu structure at the GGA-PBE level of DFT.

Calculated values
ΔE to the lowest computed polymorph, eV per formula unit: 0.44
Formation energy, meV/atom: 70
Crystal system: monoclinic

Unit cell a=4.9112 b=4.9112 c=4.6438 alpha=101.29 beta=101.29 gamma=34.05
Fractional coordinates of all 4 atoms:
Mn (0.0000, 0.0000, 0.0000)
Mn (0.2398, 0.2398, 0.6751)
Ir (0.7373, 0.7373, 0.1585)
Au (0.4909, 0.4909, 0.4906)


# 11
Computed, not measured: a geometry-optimized TbCe3Ni8 structure at the GGA-PBE level of DFT.

Calculated values
ΔE to the lowest computed polymorph, eV per formula unit: 0.18
Formation energy, meV/atom: -372
Crystal system: trigonal

Unit cell a=5.0519 b=5.0519 c=8.4245 alpha=90.00 beta=90.00 gamma=120.00
Fractional coordinates of all 12 atoms:
Tb (0.0000, 0.0000, 0.0000)
Ce (0.0000, 0.0000, 0.3788)
Ce (0.6667, 0.3333, 0.4871)
Ce (0.6667, 0.3333, 0.8714)
Ni (0.0075, 0.5037, 0.1853)
Ni (0.1695, 0.3389, 0.6884)
Ni (0.1695, 0.8305, 0.6884)
Ni (0.3333, 0.6667, 0.4406)
Ni (0.3333, 0.6667, 0.9363)
Ni (0.4963, 0.5037, 0.1853)
Ni (0.4963, 0.9925, 0.1853)
Ni (0.6611, 0.8305, 0.6884)


# 12
Computed, not measured: a geometry-optimized Dy2Sn3Rh4 structure at the GGA-PBE level of DFT.

Calculated values
Formation energy, meV/atom: -750
Crystal system: orthorhombic

Unit cell a=8.6624 b=8.6624 c=7.3150 alpha=90.00 beta=90.00 gamma=139.45
Fractional coordinates of all 18 atoms:
Dy (0.1021, 0.8979, 0.9183)
Dy (0.3979, 0.6021, 0.4183)
Dy (0.6021, 0.3979, 0.5817)
Dy (0.8979, 0.1021, 0.0817)
Sn (0.0000, 0.0000, 0.5000)
Sn (0.0147, 0.4853, 0.7500)
Sn (0.4853, 0.0147, 0.2500)
Sn (0.5000, 0.5000, 0.0000)
Sn (0.5147, 0.9853, 0.7500)
Sn (0.9853, 0.5147, 0.2500)
Rh (0.1690, 0.8310, 0.5274)
Rh (0.1795, 0.3205, 0.7500)
Rh (0.3205, 0.1795, 0.2500)
Rh (0.3310, 0.6690, 0.0274)
Rh (0.6690, 0.3310, 0.9726)
Rh (0.6795, 0.8205, 0.7500)
Rh (0.8205, 0.6795, 0.2500)
Rh (0.8310, 0.1690, 0.4726)


# 13
Computed, not measured: a geometry-optimized LaAg6Hg2 structure at the GGA-PBE level of DFT.

Calculated values
Formation energy, meV/atom: 14
Crystal system: monoclinic

Unit cell a=8.4875 b=8.4875 c=3.1860 alpha=100.63 beta=100.63 gamma=115.44
Fractional coordinates of all 9 atoms:
La (0.0000, 0.0000, 0.0000)
Ag (0.0020, 0.6463, 0.3234)
Ag (0.3457, 0.6543, 0.5000)
Ag (0.3537, 0.9980, 0.6766)
Ag (0.6463, 0.0020, 0.3234)
Ag (0.6543, 0.3457, 0.5000)
Ag (0.9980, 0.3537, 0.6766)
Hg (0.3323, 0.3323, 0.8269)
Hg (0.6677, 0.6677, 0.1731)


# 14
Computed, not measured: a geometry-optimized Si2GeH structure at the GGA-PBE level of DFT.

Calculated values
ΔE to the lowest computed polymorph, eV per formula unit: 0.00
Crystal system: tetragonal

Unit cell a=7.4389 b=7.4389 c=7.4389 alpha=147.49 beta=147.49 gamma=46.63
Fractional coordinates of all 8 atoms:
Si (0.0215, 0.6250, 0.8965)
Si (0.3750, 0.2715, 0.3965)
Si (0.7285, 0.1250, 0.1035)
Si (0.8750, 0.9785, 0.6035)
Ge (0.2500, 0.7500, 0.5000)
Ge (0.5000, 0.5000, 0.0000)
H (0.0000, 0.0000, 0.0000)
H (0.7500, 0.2500, 0.5000)


# 15
Computed, not measured: a geometry-optimized Co5P structure at the GGA-PBE level of DFT.

Calculated values
ΔE to the lowest computed polymorph, eV per formula unit: 0.03
Formation energy, meV/atom: -93
Crystal system: orthorhombic

Unit cell a=5.5681 b=5.5681 c=3.4465 alpha=90.00 beta=90.00 gamma=143.31
Fractional coordinates of all 6 atoms:
Co (0.0000, 0.0000, 0.0000)
Co (0.1703, 0.8297, 0.5000)
Co (0.3338, 0.6662, 0.0000)
Co (0.6662, 0.3338, 0.0000)
Co (0.8297, 0.1703, 0.5000)
P (0.5000, 0.5000, 0.5000)


# 16
Computed, not measured: a geometry-optimized IrSe2 structure at the GGA-PBE level of DFT.

Calculated values
Crystal system: orthorhombic
Energy relative to the elements, uncorrected, eV/atom: -0.314

Unit cell a=12.5229 b=3.7916 c=5.1435 alpha=90.00 beta=90.00 gamma=90.00
Fractional coordinates of all 12 atoms:
Ir (0.1350, 0.2500, 0.0292)
Ir (0.3650, 0.7500, 0.5292)
Ir (0.6350, 0.2500, 0.4708)
Ir (0.8650, 0.7500, 0.9708)
Se (0.0534, 0.7500, 0.7739)
Se (0.1901, 0.7500, 0.3096)
Se (0.3099, 0.2500, 0.8096)
Se (0.4466, 0.2500, 0.2739)
Se (0.5534, 0.7500, 0.7261)
Se (0.6901, 0.7500, 0.1904)
Se (0.8099, 0.2500, 0.6904)
Se (0.9466, 0.2500, 0.2261)


# 17
Computed, not measured: a geometry-optimized Li3NiSn structure at the GGA-PBE level of DFT.

Calculated values
ΔE to the lowest computed polymorph, eV per formula unit: 1.51
Formation energy, meV/atom: 183
Crystal system: cubic

Unit cell a=4.4847 b=4.4847 c=4.4847 alpha=90.00 beta=90.00 gamma=90.00
Fractional coordinates of all 5 atoms:
Li (0.0000, 0.0000, 0.5000)
Li (0.0000, 0.5000, 0.0000)
Li (0.5000, 0.0000, 0.0000)
Ni (0.0000, 0.0000, 0.0000)
Sn (0.5000, 0.5000, 0.5000)